VASP calculation (PBE-GGA) on an optimized crystal structure of Mn2FeIr9.

Lattice parameters (Å, degrees): 3.8263 3.8263 11.4654 90.00 90.00 90.00
Sites, in units of the cell vectors:
Mn: 0.0000 0.0000 0.1658
Mn: 0.0000 0.0000 0.8342
Fe: 0.0000 0.0000 0.5000
Ir: 0.0000 0.5000 0.0000
Ir: 0.0000 0.5000 0.3331
Ir: 0.0000 0.5000 0.6669
Ir: 0.5000 0.0000 0.0000
Ir: 0.5000 0.0000 0.3331
Ir: 0.5000 0.0000 0.6669
Ir: 0.5000 0.5000 0.1665
Ir: 0.5000 0.5000 0.5000
Ir: 0.5000 0.5000 0.8335

Computed properties:
Total DFT energy (no corrections) in eV/atom: -9.00
DOS(E_F) in states/eV per atom: 1.21
Symmetry: P4/mmm
DFT formation energy in eV per atom: -0.116